3
Lattice="0.000 2.801 2.801 2.801 0.000 2.801 2.801 2.801 0.000" Properties=species:S:1:pos:R:3 comment="TcPOs PBE optimized geometry" de_polymorph_ev_per_fu=0.52 total_magnetization_mub_per_fu=0.000 delta_e_f_ev_per_fu=0.1 n_ef_per_ev_cell=4.18 pbc="T T T"
Tc 0.000 0.000 0.000
P 4.202 4.202 4.202
Os 2.801 2.801 2.801

4
Lattice="0.000 3.039 3.039 3.039 0.000 3.039 3.039 3.039 0.000" Properties=species:S:1:pos:R:3 comment="Tc2POs PBE optimized geometry" total_magnetization_mub_per_fu=0.561 delta_e_f_ev_per_fu=1.1 n_ef_per_ev_cell=3.19 pbc="T T T"
Tc 0.000 0.000 0.000
Tc 1.519 1.519 1.519
P 4.558 4.558 4.558
Os 3.039 3.039 3.039